Material: DyMgNb
Method: DFT, GGA-PBE
State: relaxed

Calculated values
Raw total energy = -4.464 eV/atom
Magnetization = 0.218 μB/atom
Offset from the most stable computed form = 0 kJ/mol of formula units

Cell: 6.7870 6.7870 6.7870 Å, 90.00 90.00 90.00°
Space group F-43m (No. 216)
Unique sites:
Dy 0.0000 0.0000 0.0000
Mg 0.2500 0.2500 0.2500
Nb 0.0000 0.0000 0.5000

---

Material: NdDyMg4Pd2
Method: DFT, GGA-PBE
State: relaxed

Calculated values
Raw total energy = -3.041 eV/atom
Magnetization = 0.006 μB/atom

Cell: 7.2854 5.0695 14.8831 Å, 90.00 90.00 90.00°
Space group Amm2 (No. 38)
Unique sites:
Nd 0.0000 0.0000 0.0000
Dy 0.0000 0.0000 0.2285
Mg 0.2901 0.0000 0.6990
Mg 0.3067 0.0000 0.4912
Pd 0.0000 0.0000 0.4084
Pd 0.0000 0.0000 0.8055

---

Material: Nd2DyMg3Pt3
Method: DFT, GGA-PBE
State: relaxed

Calculated values
Raw total energy = -5.026 eV/atom
Magnetization = 0.001 μB/atom

Cell: 4.1114 12.9434 7.4844 Å, 90.00 90.00 90.00°
Space group Amm2 (No. 38)
Unique sites:
Nd 0.0000 0.2065 0.0000
Dy 0.0000 0.0000 0.3861
Mg 0.5000 0.0000 0.0382
Mg 0.5000 0.1200 0.6713
Pt 0.0000 0.0000 0.7880
Pt 0.5000 0.1619 0.2965

---

Q: The highest magnetization belongs to which entry?
A: DyMgNb

---

Q: Which of these has the lowest magnetization?
A: Nd2DyMg3Pt3